1.
# Li2Hg2Se3 GGA-PBE optimized geometry
# Energy relative to the lowest polymorph listed for this composition in kJ per mole of atoms: 0.00
data_Li2Hg2Se3
_chemical_formula_sum 'Li8 Hg8 Se12'
_cell_length_a 8.3945
_cell_length_b 8.3945
_cell_length_c 8.3945
_cell_angle_alpha 90.00
_cell_angle_beta 90.00
_cell_angle_gamma 90.00
_space_group_name_H-M_alt 'I 21 3'
_space_group_IT_number 199
_space_group_name_Hall 'I 2b 2c 3'
loop_
_atom_site_label
_atom_site_type_symbol
_atom_site_fract_x
_atom_site_fract_y
_atom_site_fract_z
_atom_site_occupancy
Li1 Li 0.0705 0.0705 0.0705 1
Hg1 Hg 0.1711 0.3289 0.6711 1
Se1 Se 0.0000 0.2500 0.3590 1



2.
# Er6Al43W4 GGA-PBE optimized geometry
# Energy in eV per atom: -4.80
data_Er6Al43W4
_chemical_formula_sum 'Er12 Al86 W8'
_cell_length_a 10.9895
_cell_length_b 10.9895
_cell_length_c 17.6852
_cell_angle_alpha 90.00
_cell_angle_beta 90.00
_cell_angle_gamma 120.00
_space_group_name_H-M_alt 'P 63/m c m'
_space_group_IT_number 193
_space_group_name_Hall '-P 6c 2'
loop_
_atom_site_label
_atom_site_type_symbol
_atom_site_fract_x
_atom_site_fract_y
_atom_site_fract_z
_atom_site_occupancy
Er1 Er 0.0000 0.4679 0.0956 1
Al1 Al 0.0000 0.1486 0.7500 1
Al2 Al 0.0000 0.1607 0.1141 1
Al3 Al 0.0000 0.2551 0.5303 1
Al4 Al 0.1477 0.5523 0.2500 1
Al5 Al 0.1578 0.3949 0.6632 1
Al6 Al 0.2469 0.4939 0.0000 1
Al7 Al 0.3333 0.6667 0.1251 1
W1 W 0.0000 0.0000 0.0000 1
W2 W 0.0000 0.2711 0.2500 1



3.
# TmHfHgC GGA-PBE optimized geometry
# Energy relative to the lowest polymorph listed for this composition in kJ per mole of atoms: 0.00
data_TmHfHgC
_chemical_formula_sum 'Tm2 Hf2 Hg2 C2'
_cell_length_a 3.3992
_cell_length_b 3.3992
_cell_length_c 15.1784
_cell_angle_alpha 90.00
_cell_angle_beta 90.00
_cell_angle_gamma 120.00
_space_group_name_H-M_alt 'P -6 m 2'
_space_group_IT_number 187
_space_group_name_Hall 'P -6 2'
loop_
_atom_site_label
_atom_site_type_symbol
_atom_site_fract_x
_atom_site_fract_y
_atom_site_fract_z
_atom_site_occupancy
Tm1 Tm 0.0000 0.0000 0.1673 1
Hf1 Hf 0.6667 0.3333 0.3387 1
Hg1 Hg 0.0000 0.0000 0.5000 1
Hg2 Hg 0.6667 0.3333 0.0000 1
C1 C 0.3333 0.6667 0.2646 1



4.
# ZnAgTeO GGA-PBE optimized geometry
# Energy relative to the lowest polymorph listed for this composition in kJ per mole of atoms: 1.53
data_ZnAgTeO
_chemical_formula_sum 'Zn4 Ag4 Te4 O4'
_cell_length_a 6.2506
_cell_length_b 8.4247
_cell_length_c 5.7747
_cell_angle_alpha 90.00
_cell_angle_beta 90.00
_cell_angle_gamma 90.00
_space_group_name_H-M_alt 'P c a 21'
_space_group_IT_number 29
_space_group_name_Hall 'P 2c -2ac'
loop_
_atom_site_label
_atom_site_type_symbol
_atom_site_fract_x
_atom_site_fract_y
_atom_site_fract_z
_atom_site_occupancy
Zn1 Zn 0.1205 0.0249 0.0000 1
Ag1 Ag 0.2354 0.6688 0.7077 1
Te1 Te 0.1709 0.3515 0.9034 1
O1 O 0.1384 0.9437 0.6837 1



5.
# LuSn2Pt GGA-PBE optimized geometry
# Energy in eV per atom: -3.86
data_LuSn2Pt
_chemical_formula_sum 'Lu4 Sn8 Pt4'
_cell_length_a 6.2661
_cell_length_b 6.2661
_cell_length_c 6.2661
_cell_angle_alpha 90.00
_cell_angle_beta 90.00
_cell_angle_gamma 90.00
_space_group_name_H-M_alt 'F -4 3 m'
_space_group_IT_number 216
_space_group_name_Hall 'F -4 2 3'
loop_
_atom_site_label
_atom_site_type_symbol
_atom_site_fract_x
_atom_site_fract_y
_atom_site_fract_z
_atom_site_occupancy
Lu1 Lu 0.0000 0.0000 0.0000 1
Sn1 Sn 0.0000 0.0000 0.5000 1
Sn2 Sn 0.2500 0.2500 0.2500 1
Pt1 Pt 0.2500 0.2500 0.7500 1



6.
# Sc2Fe3Mo4N3 GGA-PBE optimized geometry
# Energy in eV per atom: -9.25
data_Sc2Fe3Mo4N3
_chemical_formula_sum 'Sc8 Fe12 Mo16 N12'
_cell_length_a 9.0792
_cell_length_b 5.2629
_cell_length_c 13.3233
_cell_angle_alpha 90.00
_cell_angle_beta 102.85
_cell_angle_gamma 90.00
_space_group_name_H-M_alt 'C 1 2/c 1'
_space_group_IT_number 15
_space_group_name_Hall '-C 2yc'
loop_
_atom_site_label
_atom_site_type_symbol
_atom_site_fract_x
_atom_site_fract_y
_atom_site_fract_z
_atom_site_occupancy
Sc1 Sc 0.0434 0.0814 0.3835 1
Fe1 Fe 0.0000 0.4193 0.7500 1
Fe2 Fe 0.2477 0.1639 0.7500 1
Mo1 Mo 0.1111 0.4225 0.5846 1
Mo2 Mo 0.2191 0.4154 0.9152 1
N1 N 0.0765 0.2279 0.0004 1
N2 N 0.2500 0.2500 0.5000 1



7.
# Y6ZnCo2 GGA-PBE optimized geometry
# E_form in eV/atom: -0.20
data_Y6ZnCo2
_chemical_formula_sum 'Y24 Zn4 Co8'
_cell_length_a 9.3477
_cell_length_b 9.4744
_cell_length_c 9.9272
_cell_angle_alpha 90.00
_cell_angle_beta 90.00
_cell_angle_gamma 90.00
_space_group_name_H-M_alt 'I m m m'
_space_group_IT_number 71
_space_group_name_Hall '-I 2 2'
loop_
_atom_site_label
_atom_site_type_symbol
_atom_site_fract_x
_atom_site_fract_y
_atom_site_fract_z
_atom_site_occupancy
Y1 Y 0.0000 0.1992 0.2323 1
Y2 Y 0.1959 0.5000 0.1818 1
Y3 Y 0.2173 0.3168 0.5000 1
Zn1 Zn 0.0000 0.0000 0.0000 1
Zn2 Zn 0.0000 0.0000 0.5000 1
Co1 Co 0.0000 0.3711 0.0000 1
Co2 Co 0.0000 0.5000 0.3879 1



8.
# SrLuTc GGA-PBE optimized geometry
# Energy relative to the lowest polymorph listed for this composition in kJ per mole of atoms: 0.00
data_SrLuTc
_chemical_formula_sum 'Sr4 Lu4 Tc4'
_cell_length_a 6.9799
_cell_length_b 6.9799
_cell_length_c 6.9799
_cell_angle_alpha 90.00
_cell_angle_beta 90.00
_cell_angle_gamma 90.00
_space_group_name_H-M_alt 'F -4 3 m'
_space_group_IT_number 216
_space_group_name_Hall 'F -4 2 3'
loop_
_atom_site_label
_atom_site_type_symbol
_atom_site_fract_x
_atom_site_fract_y
_atom_site_fract_z
_atom_site_occupancy
Sr1 Sr 0.0000 0.0000 0.0000 1
Lu1 Lu 0.2500 0.2500 0.2500 1
Tc1 Tc 0.0000 0.0000 0.5000 1



9.
# ErPb3 GGA-PBE optimized geometry
# Energy in eV per atom: -4.15
data_ErPb3
_chemical_formula_sum 'Er1 Pb3'
_cell_length_a 4.8402
_cell_length_b 4.8402
_cell_length_c 4.8402
_cell_angle_alpha 90.00
_cell_angle_beta 90.00
_cell_angle_gamma 90.00
_space_group_name_H-M_alt 'P m -3 m'
_space_group_IT_number 221
_space_group_name_Hall '-P 4 2 3'
loop_
_atom_site_label
_atom_site_type_symbol
_atom_site_fract_x
_atom_site_fract_y
_atom_site_fract_z
_atom_site_occupancy
Er1 Er 0.0000 0.0000 0.0000 1
Pb1 Pb 0.0000 0.5000 0.5000 1



10.
# KErNiTe3 GGA-PBE optimized geometry
# Energy relative to the lowest polymorph listed for this composition in kJ per mole of atoms: 0.17
data_KErNiTe3
_chemical_formula_sum 'K4 Er4 Ni4 Te12'
_cell_length_a 16.2956
_cell_length_b 4.2407
_cell_length_c 11.2721
_cell_angle_alpha 90.00
_cell_angle_beta 90.00
_cell_angle_gamma 90.00
_space_group_name_H-M_alt 'P n m a'
_space_group_IT_number 62
_space_group_name_Hall '-P 2ac 2n'
loop_
_atom_site_label
_atom_site_type_symbol
_atom_site_fract_x
_atom_site_fract_y
_atom_site_fract_z
_atom_site_occupancy
K1 K 0.2312 0.2500 0.0257 1
Er1 Er 0.0228 0.2500 0.3429 1
Ni1 Ni 0.0137 0.7500 0.1105 1
Te1 Te 0.0695 0.7500 0.9010 1
Te2 Te 0.1024 0.2500 0.5839 1
Te3 Te 0.1383 0.7500 0.2460 1



11.
# Np GGA-PBE optimized geometry
# Energy relative to the lowest polymorph listed for this composition in kJ per mole of atoms: 4.75
# E_form in eV/atom: 0.05
data_Np
_chemical_formula_sum 'Np8'
_cell_length_a 4.8535
_cell_length_b 8.4195
_cell_length_c 3.6163
_cell_angle_alpha 90.00
_cell_angle_beta 90.00
_cell_angle_gamma 90.00
_space_group_name_H-M_alt 'C m c e'
_space_group_IT_number 64
_space_group_name_Hall '-C 2ac 2'
loop_
_atom_site_label
_atom_site_type_symbol
_atom_site_fract_x
_atom_site_fract_y
_atom_site_fract_z
_atom_site_occupancy
Np1 Np 0.0000 0.1430 0.1180 1



12.
# AlCdNi GGA-PBE optimized geometry
# Energy relative to the lowest polymorph listed for this composition in kJ per mole of atoms: 39.71
data_AlCdNi
_chemical_formula_sum 'Al4 Cd4 Ni4'
_cell_length_a 6.0205
_cell_length_b 6.0205
_cell_length_c 6.0205
_cell_angle_alpha 90.00
_cell_angle_beta 90.00
_cell_angle_gamma 90.00
_space_group_name_H-M_alt 'F -4 3 m'
_space_group_IT_number 216
_space_group_name_Hall 'F -4 2 3'
loop_
_atom_site_label
_atom_site_type_symbol
_atom_site_fract_x
_atom_site_fract_y
_atom_site_fract_z
_atom_site_occupancy
Al1 Al 0.0000 0.0000 0.0000 1
Cd1 Cd 0.2500 0.2500 0.2500 1
Ni1 Ni 0.0000 0.0000 0.5000 1



13.
# Er2Nb2O5 GGA-PBE optimized geometry
# Energy relative to the lowest polymorph listed for this composition in kJ per mole of atoms: 5.32
data_Er2Nb2O5
_chemical_formula_sum 'Er2 Nb2 O5'
_cell_length_a 3.5051
_cell_length_b 3.5051
_cell_length_c 9.7118
_cell_angle_alpha 90.00
_cell_angle_beta 90.00
_cell_angle_gamma 90.00
_space_group_name_H-M_alt 'P 4/m m m'
_space_group_IT_number 123
_space_group_name_Hall '-P 4 2'
loop_
_atom_site_label
_atom_site_type_symbol
_atom_site_fract_x
_atom_site_fract_y
_atom_site_fract_z
_atom_site_occupancy
Er1 Er 0.0000 0.0000 0.2374 1
Nb1 Nb 0.5000 0.5000 0.0000 1
Nb2 Nb 0.5000 0.5000 0.5000 1
O1 O 0.0000 0.0000 0.0000 1
O2 O 0.0000 0.5000 0.3747 1



14.
# NpCdW GGA-PBE optimized geometry
# E_form in eV/atom: 1.17
data_NpCdW
_chemical_formula_sum 'Np4 Cd4 W4'
_cell_length_a 6.5346
_cell_length_b 6.5346
_cell_length_c 6.5346
_cell_angle_alpha 90.00
_cell_angle_beta 90.00
_cell_angle_gamma 90.00
_space_group_name_H-M_alt 'F -4 3 m'
_space_group_IT_number 216
_space_group_name_Hall 'F -4 2 3'
loop_
_atom_site_label
_atom_site_type_symbol
_atom_site_fract_x
_atom_site_fract_y
_atom_site_fract_z
_atom_site_occupancy
Np1 Np 0.0000 0.0000 0.0000 1
Cd1 Cd 0.0000 0.0000 0.5000 1
W1 W 0.2500 0.2500 0.2500 1



15.
# NaYBiIr GGA-PBE optimized geometry
# Energy relative to the lowest polymorph listed for this composition in kJ per mole of atoms: 20.20
data_NaYBiIr
_chemical_formula_sum 'Na4 Y4 Bi4 Ir4'
_cell_length_a 7.1370
_cell_length_b 7.1370
_cell_length_c 7.1370
_cell_angle_alpha 90.00
_cell_angle_beta 90.00
_cell_angle_gamma 90.00
_space_group_name_H-M_alt 'F -4 3 m'
_space_group_IT_number 216
_space_group_name_Hall 'F -4 2 3'
loop_
_atom_site_label
_atom_site_type_symbol
_atom_site_fract_x
_atom_site_fract_y
_atom_site_fract_z
_atom_site_occupancy
Na1 Na 0.0000 0.0000 0.0000 1
Y1 Y 0.0000 0.0000 0.5000 1
Bi1 Bi 0.2500 0.2500 0.2500 1
Ir1 Ir 0.2500 0.2500 0.7500 1



16.
# HfTlTe3Au GGA-PBE optimized geometry
# Energy relative to the lowest polymorph listed for this composition in kJ per mole of atoms: 3.91
data_HfTlTe3Au
_chemical_formula_sum 'Hf4 Tl4 Te12 Au4'
_cell_length_a 4.0862
_cell_length_b 15.5202
_cell_length_c 10.9297
_cell_angle_alpha 90.00
_cell_angle_beta 90.00
_cell_angle_gamma 90.00
_space_group_name_H-M_alt 'C m c m'
_space_group_IT_number 63
_space_group_name_Hall '-C 2c 2'
loop_
_atom_site_label
_atom_site_type_symbol
_atom_site_fract_x
_atom_site_fract_y
_atom_site_fract_z
_atom_site_occupancy
Hf1 Hf 0.0000 0.0000 0.0000 1
Tl1 Tl 0.0000 0.2326 0.2500 1
Te1 Te 0.0000 0.0777 0.7500 1
Te2 Te 0.0000 0.3664 0.5351 1
Au1 Au 0.0000 0.4567 0.7500 1



17.
# Na3LiTc2O6 GGA-PBE optimized geometry
# Energy in eV per atom: -6.27
data_Na3LiTc2O6
_chemical_formula_sum 'Na6 Li2 Tc4 O12'
_cell_length_a 5.3370
_cell_length_b 9.2421
_cell_length_c 5.5739
_cell_angle_alpha 90.00
_cell_angle_beta 108.52
_cell_angle_gamma 90.00
_space_group_name_H-M_alt 'C 1 2/m 1'
_space_group_IT_number 12
_space_group_name_Hall '-C 2y'
loop_
_atom_site_label
_atom_site_type_symbol
_atom_site_fract_x
_atom_site_fract_y
_atom_site_fract_z
_atom_site_occupancy
Na1 Na 0.0000 0.0000 0.0000 1
Na2 Na 0.0000 0.3417 0.0000 1
Li1 Li 0.0000 0.5000 0.5000 1
Tc1 Tc 0.0000 0.1672 0.5000 1
O1 O 0.2199 0.0000 0.7069 1
O2 O 0.2447 0.3247 0.7087 1



18.
# AlNiAu GGA-PBE optimized geometry
# Energy in eV per atom: -4.39
data_AlNiAu
_chemical_formula_sum 'Al4 Ni4 Au4'
_cell_length_a 5.8185
_cell_length_b 5.8185
_cell_length_c 5.8185
_cell_angle_alpha 90.00
_cell_angle_beta 90.00
_cell_angle_gamma 90.00
_space_group_name_H-M_alt 'F -4 3 m'
_space_group_IT_number 216
_space_group_name_Hall 'F -4 2 3'
loop_
_atom_site_label
_atom_site_type_symbol
_atom_site_fract_x
_atom_site_fract_y
_atom_site_fract_z
_atom_site_occupancy
Al1 Al 0.0000 0.0000 0.0000 1
Ni1 Ni 0.2500 0.2500 0.2500 1
Au1 Au 0.0000 0.0000 0.5000 1